Model a:
InNi2Se PBE optimized geometry; magnetization = 0.00 μB/cell; crystal system = monoclinic; space-group type = Pm, No. 6; Fermi-level density of states = 2.76 states/eV/cell
1.0
3.675 0.000 0.000
0.000 3.620 0.000
-0.809 0.000 5.668
In Ni Se
1 2 1
Direct
0.000 0.000 0.000
0.087 0.500 0.342
0.577 0.000 0.327
0.644 0.500 0.589

=====

Model b:
InNi2Se PBE optimized geometry; magnetization = 0.00 μB/cell; crystal system = trigonal; space-group type = R-3m, No. 166; Fermi-level density of states = 2.07 states/eV/cell
1.0
1.577 0.910 7.402
-1.577 0.910 7.402
0.000 -1.821 7.402
In Ni Se
1 2 1
Direct
0.000 0.000 0.000
0.242 0.242 0.242
0.758 0.758 0.758
0.500 0.500 0.500

=====

Which one sits at the top of the stability order? model a does.

=====

Model a:
InNiSe PBE optimized geometry; magnetization = 0.00 μB/cell; crystal system = cubic; space-group type = F-43m, No. 216; Fermi-level density of states = 2.52 states/eV/cell
1.0
0.000 3.090 3.090
3.090 0.000 3.090
3.090 3.090 0.000
In Ni Se
1 1 1
Direct
0.000 0.000 0.000
0.750 0.750 0.750
0.500 0.500 0.500

=====

Model b:
InNiSe PBE optimized geometry; magnetization = 0.00 μB/cell; crystal system = cubic; space-group type = F-43m, No. 216; Fermi-level density of states = 2.64 states/eV/cell
1.0
0.000 3.200 3.200
3.200 0.000 3.200
3.200 3.200 0.000
In Ni Se
1 1 1
Direct
0.000 0.000 0.000
0.250 0.250 0.250
0.750 0.750 0.750

=====

Model c:
InNiSe PBE optimized geometry; magnetization = 0.00 μB/cell; crystal system = trigonal; space-group type = P3m1, No. 156; Fermi-level density of states = 1.90 states/eV/cell
1.0
3.679 0.000 0.000
-1.839 3.186 0.000
0.000 0.000 5.146
In Ni Se
1 1 1
Direct
0.000 0.000 0.000
0.667 0.333 0.329
0.333 0.667 0.524

=====

Model d:
InNiSe PBE optimized geometry; magnetization = 0.00 μB/cell; crystal system = tetragonal; space-group type = I4mm, No. 107; Fermi-level density of states = 1.80 states/eV/cell
1.0
-1.593 1.593 6.303
1.593 -1.593 6.303
1.593 1.593 -6.303
In Ni Se
1 1 1
Direct
0.000 0.000 0.000
0.321 0.321 0.000
0.753 0.753 0.000

=====

Which one sits at the top of the stability order? model c does.

=====

Model a:
In3SiNi PBE optimized geometry; magnetization = 0.10 μB/cell; crystal system = cubic; space-group type = Pm-3m, No. 221; Fermi-level density of states = 3.53 states/eV/cell
1.0
5.153 0.000 0.000
0.000 5.153 0.000
0.000 0.000 5.153
In Si Ni
3 1 1
Direct
0.000 0.000 0.500
0.000 0.500 0.000
0.500 0.000 0.000
0.000 0.000 0.000
0.500 0.500 0.500

=====

Model b:
In3SiNi PBE optimized geometry; magnetization = 0.00 μB/cell; crystal system = cubic; space-group type = Pm-3m, No. 221; Fermi-level density of states = 3.59 states/eV/cell
1.0
4.918 0.000 0.000
0.000 4.918 0.000
0.000 0.000 4.918
In Si Ni
3 1 1
Direct
0.000 0.000 0.500
0.000 0.500 0.000
0.500 0.000 0.000
0.500 0.500 0.500
0.000 0.000 0.000

=====

Which one sits at the top of the stability order? model b does.